Entry 1:
A plane-wave DFT calculation with PBE was carried out for CaPm3H after structural relaxation.

Structure (POSCAR):
```
CaPm3H
1.0
5.179 0.000 0.000
0.000 5.179 0.000
0.000 0.000 5.179
Ca Pm H
1 3 1
direct
0.000 0.000 0.000 Ca
0.000 0.500 0.500 Pm
0.500 0.000 0.500 Pm
0.500 0.500 0.000 Pm
0.500 0.500 0.500 H
```

Summary:
The space group is Pm-3m (221). The density comes out at 5.7 g cm⁻³. The value obtained for the final energy is -4.03 eV per atom.



Entry 2:
A plane-wave DFT calculation with PBE was carried out for CaPmH2 after structural relaxation.

Structure (POSCAR):
```
CaPmH2
1.0
1.869 1.079 6.336
-1.869 1.079 6.336
0.000 -2.159 6.336
Ca Pm H
1 1 2
direct
0.000 0.000 0.000 Ca
0.184 0.184 0.184 Pm
0.583 0.583 0.583 H
0.818 0.818 0.818 H
```

Summary:
The space group is R3m (160). The density comes out at 4.1 g cm⁻³. The value obtained for the final energy is -3.64 eV per atom.



Question: Which value of final energy does entry 2 give?
Answer: -3.64 eV per atom



Repeat the first record exactly.
A plane-wave DFT calculation with PBE was carried out for CaPm3H after structural relaxation.

Structure (POSCAR):
```
CaPm3H
1.0
5.179 0.000 0.000
0.000 5.179 0.000
0.000 0.000 5.179
Ca Pm H
1 3 1
direct
0.000 0.000 0.000 Ca
0.000 0.500 0.500 Pm
0.500 0.000 0.500 Pm
0.500 0.500 0.000 Pm
0.500 0.500 0.500 H
```

Summary:
The space group is Pm-3m (221). The density comes out at 5.7 g cm⁻³. The value obtained for the final energy is -4.03 eV per atom.